Here is a geometry-optimized ScIn2Pt structure from Alexandria via LeMat-Bulk. Energies are from GGA-PBE.

Unit cell a=4.5880 b=4.5880 c=8.5551 alpha=105.55 beta=105.55 gamma=90.00
Atoms (fractional coordinates):
1 Sc 0.1423 0.1423 0.2847
2 Sc 0.8577 0.8577 0.7153
3 In 0.0000 0.5000 0.0000
4 In 0.5000 0.0000 0.0000
5 In 0.3547 0.3547 0.7093
6 In 0.6453 0.6453 0.2907
7 Pt 0.2500 0.7500 0.5000
8 Pt 0.7500 0.2500 0.5000

Summary:
M_tot = 0.000 μB per cell
Raw total energy = -40.491 eV for the cell shown